(1)
VASP calculation (PBE) on an optimized crystal structure of Li3GaI.

Unit cell a=5.179 b=5.179 c=5.179 alpha=90.00 beta=90.00 gamma=90.00
Each line ends with the local moment (μB).
Element x y z (fractional)
1 Li 0.500 0.000 0.000  0.04
2 Li 0.000 0.000 0.500  0.05
3 Ga 0.000 0.000 0.000  0.70
4 Li 0.000 0.500 0.000  0.05
5 I 0.500 0.500 0.500  0.16

- density (Mg/m³) = 2.6
- uncorrected energy (eV per atom) = -2.14
- symmetry = Pm-3m (221)
- magnetic moment (μB/cell) = 2.98
- formation energy (no corrections) (eV per formula unit) = -0.39
- distance to the lowest polymorph of the same formula (meV per atom) = 20



(2)
VASP calculation (PBE) on an optimized crystal structure of CaPd2Pt2.

Unit cell a=7.730 b=7.730 c=2.991 alpha=90.00 beta=90.00 gamma=90.00
Element x y z (fractional)
1 Ca 0.500 0.500 0.000
2 Pt 0.373 0.873 0.000
3 Pd 0.174 0.674 0.500
4 Pd 0.826 0.326 0.500
5 Pd 0.326 0.174 0.500
6 Pt 0.873 0.627 0.000
7 Ca 0.000 0.000 0.000
8 Pt 0.627 0.127 0.000
9 Pt 0.127 0.373 0.000
10 Pd 0.674 0.826 0.500

- density (Mg/m³) = 12.0
- uncorrected energy (eV per atom) = -5.24
- E_form (meV per atom) = -343
- symmetry = P4/mbm (127)
- magnetic moment (μB/cell) = 0.00
- distance to the lowest polymorph of the same formula (meV per atom) = 11



(3)
VASP calculation (PBE) on an optimized crystal structure of CaTeC.

Unit cell a=4.324 b=4.784 c=8.348 alpha=102.52 beta=90.55 gamma=91.86
Element x y z (fractional)
1 Ca 0.880 0.532 0.523
2 C 0.908 0.541 0.822
3 C 0.933 0.405 0.934
4 Te 0.389 0.982 0.446
5 Ca 0.463 0.716 0.046
6 Te 0.018 0.224 0.137

- density (Mg/m³) = 3.5
- uncorrected energy (eV per atom) = -5.18
- symmetry = P1 (1)
- magnetic moment (μB/cell) = 0.00
- formation energy (no corrections) (eV per formula unit) = -1.18
- distance to the lowest polymorph of the same formula (meV per atom) = 60



(4)
VASP calculation (PBE) on an optimized crystal structure of Pr2Tl3CrSe6.

Unit cell a=7.232 b=7.232 c=8.073 alpha=98.58 beta=98.58 gamma=119.87
Each line ends with the local moment (μB).
Element x y z (fractional)
1 Pr 0.666 0.334 0.000  0.01
2 Tl 0.824 0.176 0.500  0.00
3 Tl 0.500 0.500 0.500  0.00
4 Se 0.934 0.637 0.802  -0.03
5 Se 0.637 0.934 0.802  -0.03
6 Se 0.363 0.066 0.198  -0.03
7 Se 0.772 0.772 0.209  -0.04
8 Tl 0.176 0.824 0.500  0.00
9 Se 0.066 0.363 0.198  -0.03
10 Se 0.228 0.228 0.791  -0.04
11 Pr 0.334 0.666 0.000  0.01
12 Cr 0.000 0.000 0.000  3.02

- density (Mg/m³) = 6.8
- uncorrected energy (eV per atom) = -4.95
- symmetry = C2/m (12)
- magnetic moment (μB/cell) = 3.00
- formation energy (no corrections) (eV per formula unit) = -12.20



(5)
VASP calculation (PBE) on an optimized crystal structure of Er8Mg2Cu.

Unit cell a=5.340 b=6.842 c=9.192 alpha=107.79 beta=106.89 gamma=90.00
Element x y z (fractional)
1 Mg 0.814 0.290 0.629
2 Er 0.405 0.568 0.810
3 Er 0.350 0.053 0.700
4 Er 0.018 0.776 0.036
5 Er 0.982 0.224 0.964
6 Er 0.595 0.432 0.190
7 Er 0.804 0.731 0.608
8 Cu 0.500 0.000 0.000
9 Er 0.196 0.269 0.392
10 Er 0.650 0.947 0.300
11 Mg 0.186 0.710 0.371

- density (Mg/m³) = 7.9
- uncorrected energy (eV per atom) = -3.96
- E_form (meV per atom) = 24
- symmetry = C2/m (12)
- magnetic moment (μB/cell) = 0.00



(6)
VASP calculation (PBE) on an optimized crystal structure of SiNi2HOs.

Unit cell a=3.616 b=3.616 c=3.846 alpha=90.00 beta=90.00 gamma=90.00
Element x y z (fractional)
1 Ni 0.500 0.000 0.000
2 Si 0.500 0.500 0.500
3 H 0.000 0.000 0.000
4 Os 0.000 0.000 0.500
5 Ni 0.000 0.500 0.000

- density (Mg/m³) = 11.1
- uncorrected energy (eV per atom) = -6.43
- symmetry = P4/mmm (123)
- magnetic moment (μB/cell) = 0.00



(7)
VASP calculation (PBE) on an optimized crystal structure of NdIn3NiRh.

Unit cell a=5.974 b=8.402 c=6.967 alpha=127.09 beta=90.00 gamma=90.00
Element x y z (fractional)
1 In 0.500 0.752 0.000
2 Ni 0.250 0.945 0.891
3 Rh 0.250 0.421 0.841
4 Nd 0.250 0.700 0.399
5 In 0.250 0.182 0.363
6 In 0.000 0.248 0.000
7 Nd 0.750 0.300 0.601
8 Ni 0.750 0.055 0.109
9 In 0.750 0.818 0.637
10 In 0.500 0.248 0.000
11 In 0.000 0.752 0.000
12 Rh 0.750 0.579 0.159

- density (Mg/m³) = 7.7
- uncorrected energy (eV per atom) = -4.59
- E_form (meV per atom) = -237
- symmetry = Cmcm (63)
- magnetic moment (μB/cell) = 0.00



(8)
VASP calculation (PBE) on an optimized crystal structure of PuTlHg.

Unit cell a=3.259 b=5.231 c=5.231 alpha=120.00 beta=90.00 gamma=90.00
Each line ends with the local moment (μB).
Element x y z (fractional)
1 Pu 0.667 0.333 0.667  5.61
2 Tl 0.168 0.667 0.333  -0.01
3 Hg 0.165 0.000 0.000  0.00

- density (Mg/m³) = 14.0
- uncorrected energy (eV per atom) = -5.73
- E_form (meV per atom) = -64
- symmetry = P3m1 (156)
- magnetic moment (μB/cell) = 5.89
- distance to the lowest polymorph of the same formula (meV per atom) = 0